[1]
Cs2CeSc2Se6 | Alexandria via LeMat-Bulk | PBE | relaxed; E_tot = -59.170 eV per cell; density = 4.4 g/cm³; formation energy (no corrections) = -1.633 eV/atom
1.0
3.502 -6.108 0.000
3.502 6.108 0.000
-2.323 0.000 8.555
Cs Ce Sc Se
2 1 2 6
Cartesian
3.502 4.094 0.000
3.502 -4.094 0.000
-1.161 0.000 4.277
2.341 2.041 4.277
2.341 -2.041 4.277
0.046 2.106 5.793
1.271 0.000 2.759
0.046 -2.106 5.793
4.635 2.106 2.762
3.411 0.000 5.796
4.635 -2.106 2.762


[2]
CsTe2Ru | Alexandria via LeMat-Bulk | PBE | relaxed; E_tot = -35.261 eV per cell; distance to the lowest polymorph of the same formula = 0.0 meV per atom; density = 5.4 g/cm³; formation energy (no corrections) = -0.304 eV/atom
1.0
-4.123 4.123 4.429
4.123 -4.123 4.429
4.123 4.123 -4.429
Cs Te Ru
2 4 2
Cartesian
0.000 0.000 0.000
0.000 4.123 2.215
2.062 -1.032 3.322
3.092 2.062 1.107
2.062 5.155 -1.107
1.032 2.062 5.536
4.123 0.000 2.215
0.000 0.000 4.429


[3]
TiCdTe2N | Alexandria via LeMat-Bulk | PBE | relaxed; E_tot = -23.780 eV per cell; distance to the lowest polymorph of the same formula = 0.0 meV per atom; density = 6.0 g/cm³; formation energy (no corrections) = -0.072 eV/atom
1.0
5.665 0.000 0.000
0.000 5.665 0.000
0.000 0.000 3.724
Ti Cd Te N
1 1 2 1
Cartesian
0.000 0.000 0.000
2.833 2.833 1.862
0.000 2.833 0.000
2.833 0.000 0.000
0.000 0.000 1.862


[4]
FeBAsC | Alexandria via LeMat-Bulk | PBE | relaxed; E_tot = -26.592 eV per cell; distance to the lowest polymorph of the same formula = 480.6 meV per atom; density = 6.0 g/cm³; energy of formation from the pure elements = 0.605 eV per atom
1.0
3.698 -1.724 0.000
3.698 1.724 0.000
-1.693 0.000 3.353
Fe B As C
1 1 1 1
Cartesian
0.000 0.000 0.000
5.068 0.000 0.275
0.481 0.000 2.353
6.024 0.000 1.439


[5]
Si5Os4 | Alexandria via LeMat-Bulk | PBE | relaxed; E_tot = -70.288 eV per cell; distance to the lowest polymorph of the same formula = 108.5 meV per atom; density = 12.5 g/cm³; formation energy (no corrections) = 0.194 eV/atom
1.0
-3.891 3.891 1.984
3.891 -3.891 1.984
3.891 3.891 -1.984
Si Os
5 4
Cartesian
0.000 0.000 0.000
2.582 2.582 0.000
1.309 -1.309 1.984
-1.309 1.309 1.984
1.309 1.309 1.984
2.412 0.000 0.000
5.370 0.000 0.000
0.000 2.412 0.000
0.000 5.370 0.000


[6]
MgRe2Te | Alexandria via LeMat-Bulk | PBE | relaxed; E_tot = -27.189 eV per cell; distance to the lowest polymorph of the same formula = 398.8 meV per atom; density = 11.6 g/cm³; formation energy (no corrections) = 0.611 eV/atom
1.0
-1.530 2.319 5.290
1.530 -2.319 5.290
1.530 2.319 -5.290
Mg Re Te
1 2 1
Cartesian
0.000 0.000 0.000
0.000 0.000 5.349
0.000 2.319 2.095
1.530 0.000 3.000


[7]
CaIn2Ge | Alexandria via LeMat-Bulk | PBE | relaxed; E_tot = -12.906 eV per cell; density = 5.1 g/cm³; energy of formation from the pure elements = -0.203 eV per atom
1.0
3.033 -4.037 0.000
3.033 4.037 0.000
0.000 0.000 4.578
Ca In Ge
1 2 1
Cartesian
0.000 0.000 0.000
3.033 1.625 2.289
3.033 -1.625 2.289
3.033 0.000 0.000


[8]
YInSn2 | Alexandria via LeMat-Bulk | PBE | relaxed; E_tot = -18.918 eV per cell; density = 7.1 g/cm³; energy of formation from the pure elements = -0.427 eV per atom
1.0
-2.277 2.284 4.958
2.277 -2.284 4.958
2.277 2.284 -4.958
Y In Sn
1 1 2
Cartesian
0.000 0.000 0.000
0.000 0.000 4.958
2.277 0.000 2.479
0.000 2.284 2.479


[9]
Ba2LaTmSe4 | Alexandria via LeMat-Bulk | PBE | relaxed; E_tot = -42.413 eV per cell; density = 6.1 g/cm³; formation energy (no corrections) = -1.904 eV/atom
1.0
7.558 0.000 0.000
0.000 4.358 0.000
-2.508 0.000 7.405
Ba La Tm Se
2 1 1 4
Cartesian
0.000 0.000 0.000
3.779 2.179 0.000
-1.254 2.179 3.703
2.525 0.000 3.703
0.108 0.000 5.324
1.352 2.179 2.131
3.698 2.179 5.274
4.941 0.000 2.082


[10]
SrTlPRu | Alexandria via LeMat-Bulk | PBE | relaxed; E_tot = -19.904 eV per cell; distance to the lowest polymorph of the same formula = 132.4 meV per atom; density = 7.3 g/cm³; energy of formation from the pure elements = -0.293 eV per atom
1.0
4.771 -1.866 0.000
4.771 1.866 0.000
-2.668 0.000 5.408
Sr Tl P Ru
1 1 1 1
Cartesian
0.000 0.000 0.000
-0.004 0.000 3.386
6.645 0.000 1.521
2.700 0.000 2.390


[11]
AlGaAu2 | Alexandria via LeMat-Bulk | PBE | relaxed; E_tot = -27.370 eV per cell; density = 9.9 g/cm³; energy of formation from the pure elements = -0.090 eV per atom
1.0
-3.421 3.421 3.507
3.421 -3.421 3.507
3.421 3.421 -3.507
Al Ga Au
2 2 4
Cartesian
0.000 0.000 0.000
0.000 3.421 1.754
3.421 0.000 1.754
0.000 0.000 3.507
5.132 1.653 -0.877
1.653 1.711 0.877
-1.711 1.769 2.630
1.769 1.711 4.384


[12]
NaH3S | Alexandria via LeMat-Bulk | PBE | relaxed; E_tot = -9.644 eV per cell; distance to the lowest polymorph of the same formula = 1578.2 meV per atom; density = 1.8 g/cm³
1.0
3.747 0.000 0.000
0.000 3.747 0.000
0.000 0.000 3.747
Na H S
1 3 1
Cartesian
0.000 0.000 0.000
0.000 0.000 1.874
0.000 1.874 0.000
1.874 0.000 0.000
1.874 1.874 1.874


[13]
Sc2Si2O7 | Alexandria via LeMat-Bulk | PBE | relaxed; E_tot = -93.008 eV per cell; distance to the lowest polymorph of the same formula = 0.0 meV per atom; density = 3.3 g/cm³; formation energy (no corrections) = -3.163 eV/atom
1.0
3.277 -4.296 0.000
3.277 4.296 0.000
-1.052 0.000 4.617
Sc Si O
2 2 7
Cartesian
3.277 2.664 0.000
3.277 -2.664 0.000
1.186 0.000 2.741
4.316 0.000 1.876
0.395 0.000 1.296
0.907 1.354 3.640
0.907 -1.354 3.640
2.751 0.000 2.308
4.595 1.354 0.976
4.595 -1.354 0.976
5.107 0.000 3.321


[14]
Si2TcAg | Alexandria via LeMat-Bulk | PBE | relaxed; E_tot = -22.604 eV per cell; distance to the lowest polymorph of the same formula = 422.4 meV per atom; density = 7.1 g/cm³; formation energy (no corrections) = 0.365 eV/atom
1.0
1.672 -2.188 0.000
1.672 2.188 0.000
0.000 0.000 8.340
Si Tc Ag
2 1 1
Cartesian
0.000 0.000 0.000
1.672 0.000 1.955
0.000 0.000 3.747
1.672 0.000 6.123


[15]
KTc2As | Alexandria via LeMat-Bulk | PBE | relaxed; E_tot = -24.116 eV per cell; density = 6.9 g/cm³; energy of formation from the pure elements = 0.591 eV per atom
1.0
1.570 -2.415 0.000
1.570 2.415 0.000
0.000 0.000 9.819
K Tc As
1 2 1
Cartesian
0.000 0.000 0.000
0.000 0.000 4.842
1.570 0.000 6.882
1.570 0.000 2.821


[16]
Rb12BiAu5 | Alexandria via LeMat-Bulk | PBE | relaxed; E_tot = -35.945 eV per cell; density = 4.3 g/cm³; energy of formation from the pure elements = -0.226 eV per atom
1.0
-5.714 5.870 6.400
5.714 -5.870 6.400
5.714 5.870 -6.400
Rb Bi Au
12 1 5
Cartesian
5.714 3.749 -3.234
3.253 2.056 0.000
8.175 2.056 0.000
2.055 5.870 -1.970
3.659 0.000 4.430
0.000 2.121 3.167
5.714 3.749 3.234
2.055 5.870 1.970
3.659 0.000 8.371
-2.461 3.814 6.400
2.461 3.814 6.400
0.000 2.121 9.634
0.000 0.000 6.400
0.000 0.000 0.000
5.714 0.000 1.480
0.000 3.588 0.000
0.000 8.152 0.000
0.000 5.870 4.921


[17]
Mg2NiW | Alexandria via LeMat-Bulk | PBE | relaxed; E_tot = -20.111 eV per cell; distance to the lowest polymorph of the same formula = 344.1 meV per atom; density = 7.7 g/cm³; energy of formation from the pure elements = 0.453 eV per atom
1.0
3.876 0.000 0.000
0.000 3.876 0.000
0.000 0.000 4.177
Mg Ni W
2 1 1
Cartesian
0.000 1.938 0.000
1.938 0.000 0.000
0.000 0.000 2.089
1.938 1.938 2.089


[18]
TmAl6Au12 | Alexandria via LeMat-Bulk | PBE | relaxed; E_tot = -72.567 eV per cell; density = 12.5 g/cm³; energy of formation from the pure elements = -0.332 eV per atom
1.0
6.024 3.478 2.855
-6.024 3.478 2.855
0.000 -6.956 2.855
Tm Al Au
1 6 12
Cartesian
0.000 0.000 0.000
0.000 -2.828 3.602
-2.449 1.414 3.602
-2.449 -1.414 4.963
2.449 1.414 3.602
2.449 -1.414 4.963
0.000 2.828 4.963
-2.290 -3.967 4.282
-4.580 0.000 4.282
-1.479 -0.854 2.461
1.479 -0.854 2.461
0.000 1.708 2.461
2.290 -3.967 4.282
-2.290 3.967 4.282
0.000 -1.708 6.103
-1.479 0.854 6.103
1.479 0.854 6.103
4.580 0.000 4.282
2.290 3.967 4.282


[19]
Nd4CdRh2 | Alexandria via LeMat-Bulk | PBE | relaxed; E_tot = -76.072 eV per cell; density = 7.9 g/cm³; energy of formation from the pure elements = -0.478 eV per atom
1.0
7.099 0.000 0.000
-1.769 6.904 0.000
-2.663 -3.449 7.712
Nd Cd Rh
8 2 4
Cartesian
0.000 0.000 0.000
-2.536 2.932 4.518
0.697 -0.602 3.584
1.016 2.929 2.259
-0.115 1.133 6.671
3.434 1.130 0.099
4.245 -0.596 3.192
3.550 0.004 6.782
0.861 4.022 5.196
4.398 4.020 1.580
-1.311 -1.386 5.783
0.473 5.517 0.993
2.190 1.478 4.737
5.739 1.482 2.039


[20]
LaIr2Ru | Alexandria via LeMat-Bulk | PBE | relaxed; E_tot = -62.612 eV per cell; distance to the lowest polymorph of the same formula = 146.7 meV per atom; density = 10.7 g/cm³; energy of formation from the pure elements = 0.155 eV per atom
1.0
-2.409 2.409 8.336
2.409 -2.409 8.336
2.409 2.409 -8.336
La Ir Ru
2 4 2
Cartesian
0.000 0.000 0.000
0.000 2.409 4.168
1.204 -0.398 6.252
2.010 1.204 2.084
1.204 2.807 -2.084
0.398 1.204 10.420
2.409 0.000 4.168
0.000 0.000 8.336


[21]
Tm6ThSc2 | Alexandria via LeMat-Bulk | PBE | relaxed; E_tot = -42.483 eV per cell; distance to the lowest polymorph of the same formula = 427.1 meV per atom; density = 7.5 g/cm³; energy of formation from the pure elements = 0.492 eV per atom
1.0
3.322 1.918 7.757
-3.322 1.918 7.757
0.000 -3.835 7.757
Tm Th Sc
6 1 2
Cartesian
-1.702 -0.865 7.757
-1.638 -1.098 12.934
1.600 -1.041 7.757
0.102 1.906 7.757
-0.132 1.968 12.934
1.770 -0.870 12.934
0.000 0.000 18.136
0.000 0.000 0.500
0.000 0.000 4.151


[22]
LiCaMg2Zr | Alexandria via LeMat-Bulk | PBE | relaxed; E_tot = -10.414 eV per cell; density = 2.5 g/cm³; energy of formation from the pure elements = 1.048 eV per atom
1.0
5.367 0.000 0.000
0.000 5.367 0.000
0.000 0.000 4.386
Li Ca Mg Zr
1 1 2 1
Cartesian
0.000 0.000 0.000
0.000 0.000 2.193
0.000 2.684 2.193
2.684 0.000 2.193
2.684 2.684 0.000


[23]
CaSmZnN2 | Alexandria via LeMat-Bulk | PBE | relaxed; E_tot = -54.869 eV per cell; density = 5.0 g/cm³; formation energy (no corrections) = -0.558 eV/atom
1.0
5.231 0.000 0.000
0.000 5.474 0.000
0.000 0.000 6.612
Ca Sm Zn N
2 2 2 4
Cartesian
0.000 0.000 1.653
0.000 0.000 4.959
2.616 2.737 1.653
2.616 2.737 4.959
2.616 0.000 0.000
2.616 0.000 3.306
1.400 1.418 0.000
1.400 4.056 3.306
3.831 1.418 3.306
3.831 4.056 0.000


[24]
Hf2MgPb | Alexandria via LeMat-Bulk | PBE | relaxed; E_tot = -24.673 eV per cell; density = 10.4 g/cm³; energy of formation from the pure elements = 0.134 eV per atom
1.0
1.604 -2.778 0.000
1.604 2.778 0.000
-0.010 0.000 10.511
Hf Mg Pb
2 1 1
Cartesian
0.002 0.000 2.591
3.196 0.000 7.920
1.599 0.929 5.255
1.604 0.927 0.000


[25]
Ba2AsPt | Alexandria via LeMat-Bulk | PBE | relaxed; E_tot = -33.159 eV per cell; density = 6.7 g/cm³; energy of formation from the pure elements = -0.511 eV per atom
1.0
-4.302 4.302 3.638
4.302 -4.302 3.638
4.302 4.302 -3.638
Ba As Pt
4 2 2
Cartesian
2.151 2.006 -0.910
2.296 -2.151 4.548
2.151 2.296 2.729
2.006 6.453 0.910
4.302 0.000 1.819
0.000 0.000 3.638
0.000 0.000 0.000
0.000 4.302 1.819